Compound: Ca2Ac2AlPt4
Source: Alexandria via LeMat-Bulk
Functional: GGA-PBE
Structure: relaxed

```
data_Ca2Ac2AlPt4
_cell_length_a 6.644
_cell_length_b 6.644
_cell_length_c 6.644
_cell_angle_alpha 115.14
_cell_angle_beta 115.14
_cell_angle_gamma 98.65
_symmetry_space_group_name_H-M 'P 1'
_symmetry_Int_Tables_number 1
_symmetry_space_group_name_Hall 'P 1'
loop_
_atom_site_label
_atom_site_type_symbol
_atom_site_fract_x
_atom_site_fract_y
_atom_site_fract_z
Ca1 Ca 0.173 0.173 0.000
Ca2 Ca 0.827 0.827 0.000
Ac1 Ac 0.250 0.750 0.500
Ac2 Ac 0.750 0.250 0.500
Al1 Al 0.500 0.500 0.000
Pt1 Pt 0.256 0.256 0.512
Pt2 Pt 0.256 0.744 0.000
Pt3 Pt 0.744 0.256 0.000
Pt4 Pt 0.744 0.744 0.488
```

Summary:
Calculated volume, Å³/cell: 219.9
Density, g cm⁻³: 10.13
Symmetry: I4/mmm, No. 139
VASP energy, eV per formula unit: -47.2
E_form, eV/atom: -0.78